MnFe | meta-GGA SCAN | single point on PBEsol structure

Results
**Volume**: 170.3 Å³ per cell
**E**: -18.0354 eV/atom
**DFT formation energy**: 157 meV per atom

a b c (Å): 5.5432 5.5432 5.5432
angles (deg): 90.00 90.00 90.00
Space group Fd-3m (No. 227, origin choice 2)
Unique sites:
Mn  0.1250  0.1250  0.1250 x8
Fe  0.1250  0.1250  0.6250 x8